First-principles (PBE) data for a relaxed Li4InPb5 crystal, as listed in the Alexandria database.

Properties
The mass density is 8.12 Mg/m³. For the total energy, the calculation gives -3.088 eV/atom. Its crystal system is tetragonal.

Cell: 3.627 3.627 18.312 Å, 90.00 90.00 90.00°
Space group P4/mmm (No. 123)
Asymmetric unit:
Li1 0.000 0.000 0.094 [2 per cell]
Li2 0.000 0.000 0.278 [2 per cell]
In1 0.000 0.000 0.500 [1 per cell]
Pb1 0.500 0.500 0.000 [1 per cell]
Pb2 0.500 0.500 0.187 [2 per cell]
Pb3 0.500 0.500 0.377 [2 per cell]



First-principles (PBE) data for a relaxed LiIn2Pb crystal, as listed in the Alexandria database.

Properties
The mass density is 7.03 Mg/m³. For the total energy, the calculation gives -2.838 eV/atom. Its crystal system is cubic.

Cell: 7.483 7.483 7.483 Å, 90.00 90.00 90.00°
Space group F-43m (No. 216)
Asymmetric unit:
Li1 0.000 0.000 0.000 [4 per cell]
In1 0.000 0.000 0.500 [4 per cell]
In2 0.250 0.250 0.250 [4 per cell]
Pb1 0.250 0.250 0.750 [4 per cell]